No. 1
Nd2HgPt | PBE | optimized geometry

Structure (extended XYZ):
```
8
Lattice="7.374 0.000 0.000 0.000 3.699 0.000 0.000 0.000 7.586" Properties=species:S:1:pos:R:3 pbc="T T T"
Nd 0.046 0.000 1.720
Nd 3.641 0.000 1.720
Nd 3.733 0.000 5.866
Nd 7.328 0.000 5.866
Hg 1.843 1.850 3.893
Hg 5.530 1.850 3.693
Pt 1.843 1.850 7.367
Pt 5.530 1.850 0.219
```

Electronic total energy, eV per atom: -4.7325
V, Å³/atom: 25.87
Energy of formation, kJ/mol of formula units: -294
Spin magnetization, μB/cell: 0.0
Relative energy among the computed polymorphs, eV/atom: 0.000
DOS(E_F), states/eV per cell: 6.18

No. 2
Nd5HgPt2 | PBE | optimized geometry

Structure (extended XYZ):
```
16
Lattice="-4.066 4.066 6.801 4.066 -4.066 6.801 4.066 4.066 -6.801" Properties=species:S:1:pos:R:3 pbc="T T T"
Nd 0.000 0.000 0.000
Nd 5.374 1.308 -1.886
Nd 1.308 2.757 -1.886
Nd 5.374 1.308 1.886
Nd 1.308 2.757 1.886
Nd 0.000 0.000 6.801
Nd 2.757 1.308 4.916
Nd -1.308 2.757 4.916
Nd 2.757 1.308 8.687
Nd -1.308 2.757 8.687
Hg 0.000 0.000 3.401
Hg 0.000 0.000 10.202
Pt 2.984 1.081 0.000
Pt 2.984 -1.081 6.801
Pt 1.081 5.147 0.000
Pt 1.081 2.984 6.801
```

Electronic total energy, eV per atom: -5.2500
V, Å³/atom: 28.11
Energy of formation, kJ/mol of formula units: -557
Spin magnetization, μB/cell: 0.0
DOS(E_F), states/eV per cell: 17.02

No. 3
NdHgPt2 | PBE | optimized geometry

Structure (extended XYZ):
```
4
Lattice="4.650 0.000 0.000 0.000 4.650 0.000 0.000 0.000 3.842" Properties=species:S:1:pos:R:3 pbc="T T T"
Nd 0.000 0.000 0.000
Hg 2.325 2.325 0.000
Pt 0.000 2.325 1.921
Pt 2.325 0.000 1.921
```

Electronic total energy, eV per atom: -4.8646
V, Å³/atom: 20.77
Energy of formation, kJ/mol of formula units: -223
Spin magnetization, μB/cell: 0.0
Relative energy among the computed polymorphs, eV/atom: 0.082
DOS(E_F), states/eV per cell: 2.36

No. 4
Nd2HgPt3 | PBE | optimized geometry

Structure (extended XYZ):
```
12
Lattice="0.000 4.838 7.732 3.708 0.000 7.732 3.708 4.838 0.000" Properties=species:S:1:pos:R:3 pbc="T T T"
Nd 5.611 4.838 7.732
Nd 1.854 2.419 3.866
Nd 5.562 7.257 11.598
Nd 1.804 4.838 7.732
Hg 3.708 4.838 5.156
Hg 3.708 4.838 10.308
Pt 3.708 4.838 2.439
Pt 3.708 2.401 6.393
Pt 3.708 2.401 9.071
Pt 3.708 7.275 6.393
Pt 3.708 7.275 9.071
Pt 3.708 4.838 13.025
```

Electronic total energy, eV per atom: -5.4599
V, Å³/atom: 23.12
Energy of formation, kJ/mol of formula units: -463
Spin magnetization, μB/cell: 0.0
DOS(E_F), states/eV per cell: 8.05

No. 5
Nd4HgPt2 | PBE | optimized geometry

Structure (extended XYZ):
```
7
Lattice="2.402 1.387 10.235 -2.402 1.387 10.235 0.000 -2.774 10.235" Properties=species:S:1:pos:R:3 pbc="T T T"
Nd 0.000 0.000 3.463
Nd 0.000 0.000 9.169
Nd 0.000 0.000 21.536
Nd 0.000 0.000 27.241
Hg 0.000 0.000 15.352
Pt 0.000 0.000 12.308
Pt 0.000 0.000 18.396
```

Electronic total energy, eV per atom: -5.1939
V, Å³/atom: 29.23
Energy of formation, kJ/mol of formula units: -473
Spin magnetization, μB/cell: 0.0
DOS(E_F), states/eV per cell: 5.97

No. 6
Nd4HgPt | PBE | optimized geometry

Structure (extended XYZ):
```
24
Lattice="0.000 7.061 7.061 7.061 0.000 7.061 7.061 7.061 0.000" Properties=species:S:1:pos:R:3 pbc="T T T"
Nd 3.530 3.530 0.823
Nd 3.530 0.823 3.530
Nd 6.238 3.530 3.530
Nd 7.061 7.061 2.640
Nd 7.061 2.640 7.061
Nd 11.482 7.061 7.061
Nd 8.512 5.609 5.609
Nd 0.823 3.530 3.530
Nd 3.530 6.238 3.530
Nd 3.530 3.530 6.238
Nd 5.609 8.512 5.609
Nd 5.609 5.609 8.512
Nd 8.512 8.512 8.512
Nd 2.640 7.061 7.061
Nd 7.061 11.482 7.061
Nd 7.061 7.061 11.482
Hg 11.791 9.391 9.391
Hg 9.391 11.791 9.391
Hg 9.391 9.391 11.791
Hg 11.791 11.791 11.791
Pt 5.560 5.560 5.560
Pt 8.561 8.561 5.560
Pt 8.561 5.560 8.561
Pt 5.560 8.561 8.561
```

Electronic total energy, eV per atom: -4.8240
V, Å³/atom: 29.33
Energy of formation, kJ/mol of formula units: -341
Spin magnetization, μB/cell: 0.0
Relative energy among the computed polymorphs, eV/atom: 0.000
DOS(E_F), states/eV per cell: 16.52